*A*
5
Lattice="4.3744 0.0000 0.0000 0.0000 4.3744 0.0000 0.0000 0.0000 4.3744" Properties=species:S:1:pos:R:3 comment="YPd3O | Alexandria via LeMat-Bulk | GGA-PBE | optimized geometry" sg="No. 221" pbc="T T T"
Y 0.0000 0.0000 0.0000
Pd 0.0000 2.1872 2.1872
Pd 2.1872 0.0000 2.1872
Pd 2.1872 2.1872 0.0000
O 2.1872 2.1872 2.1872


*B*
5
Lattice="5.0443 0.0000 0.0000 0.0000 5.0443 0.0000 0.0000 0.0000 5.0443" Properties=species:S:1:pos:R:3 comment="YPd3O | Alexandria via LeMat-Bulk | GGA-PBE | optimized geometry" sg="No. 221" pbc="T T T"
Y 0.0000 0.0000 0.0000
Pd 0.0000 0.0000 2.5222
Pd 0.0000 2.5222 0.0000
Pd 2.5222 0.0000 0.0000
O 2.5222 2.5222 2.5222


Relative calculated energies, zero for the most stable structure, unit meV per atom: *A* 0; *B* 1657.


*A*
5
Lattice="4.1292 0.0000 0.0000 0.0000 4.1292 0.0000 0.0000 0.0000 4.1292" Properties=species:S:1:pos:R:3 comment="Zn3PdO | Alexandria via LeMat-Bulk | GGA-PBE | optimized geometry" sg="No. 221" pbc="T T T"
Zn 0.0000 0.0000 2.0646
Zn 0.0000 2.0646 0.0000
Zn 2.0646 0.0000 0.0000
Pd 2.0646 2.0646 2.0646
O 0.0000 0.0000 0.0000


*B*
5
Lattice="4.7517 0.0000 0.0000 0.0000 4.7517 0.0000 0.0000 0.0000 4.7517" Properties=species:S:1:pos:R:3 comment="Zn3PdO | Alexandria via LeMat-Bulk | GGA-PBE | optimized geometry" sg="No. 221" pbc="T T T"
Zn 0.0000 0.0000 2.3758
Zn 0.0000 2.3758 0.0000
Zn 2.3758 0.0000 0.0000
Pd 0.0000 0.0000 0.0000
O 2.3758 2.3758 2.3758


Relative calculated energies, zero for the most stable structure, unit meV per atom: *A* 0; *B* 794.


*A*
10
Lattice="6.0486 -2.6827 0.0000 6.0486 2.6827 0.0000 -4.7976 0.0000 9.5852" Properties=species:S:1:pos:R:3 comment="Pm4O | Alexandria via LeMat-Bulk | GGA-PBE | optimized geometry" sg="No. 15" pbc="T T T"
Pm 0.5439 0.0021 1.7905
Pm -1.8549 -0.0021 6.5831
Pm 1.8825 0.0216 5.4323
Pm 4.2813 -0.0216 0.6397
Pm 3.0183 0.0216 8.9455
Pm 5.4171 -0.0216 4.1529
Pm 9.1545 0.0021 3.0021
Pm 6.7557 -0.0021 7.7947
O 2.4504 1.3526 7.1889
O 4.8492 -1.3526 2.3963


*B*
5
Lattice="5.0859 0.0000 0.0000 0.0000 5.0859 0.0000 0.0000 0.0000 5.0859" Properties=species:S:1:pos:R:3 comment="Pm4O | Alexandria via LeMat-Bulk | GGA-PBE | optimized geometry" sg="No. 221" pbc="T T T"
Pm 0.0000 0.0000 0.0000
Pm 0.0000 2.5429 2.5429
Pm 2.5429 0.0000 2.5429
Pm 2.5429 2.5429 0.0000
O 2.5429 2.5429 2.5429


Relative calculated energies, zero for the most stable structure, unit meV per atom: *A* 41; *B* 0.